Record 1
DFT (PBE) results for crystalline Pm7CI12 at its relaxed geometry.

Cell lengths 9.7829, 9.7829, 9.7829 Å; angles 107.81, 107.81, 107.81 degrees
Each line ends with the local moment (μB).
Positions (direct):
Pm 0.2907 0.0989 0.0318  0.11
Pm 0.7093 0.9011 0.9682  0.11
Pm 0.0989 0.0318 0.2907  0.11
Pm 0.5000 0.5000 0.5000  0.00
Pm 0.9011 0.9682 0.7093  0.11
Pm 0.0318 0.2907 0.0989  0.11
Pm 0.9682 0.7093 0.9011  0.11
I 0.9217 0.3122 0.7726  0.00
I 0.3122 0.7726 0.9217  0.00
I 0.6119 0.5299 0.8496  0.00
I 0.8496 0.6119 0.5299  0.00
I 0.5299 0.8496 0.6119  0.00
I 0.7726 0.9217 0.3122  0.00
I 0.0783 0.6878 0.2274  0.00
I 0.2274 0.0783 0.6878  0.00
I 0.4701 0.1504 0.3881  0.00
I 0.6878 0.2274 0.0783  0.00
I 0.3881 0.4701 0.1504  0.00
I 0.1504 0.3881 0.4701  0.00
C 0.0000 0.0000 0.0000  -0.05

Fermi-level density of states: 11.2 states/eV/f.u.
energy: -4.295 eV per atom

---

Record 2
DFT (PBE) results for crystalline PmCI at its relaxed geometry.

Cell lengths 4.0757, 4.1013, 12.0187 Å; angles 82.47, 80.24, 60.21 degrees
Positions (direct):
Pm 0.1683 0.0287 0.6347
Pm 0.8317 0.9713 0.3653
I 0.2443 0.3298 0.1815
I 0.7557 0.6702 0.8185
C 0.5379 0.3790 0.5451
C 0.4621 0.6210 0.4549

Fermi-level density of states: 0.8 states/eV/f.u.
energy: -5.942 eV per atom

---

Record 3
DFT (PBE) results for crystalline PmPr2C2I2 at its relaxed geometry.

Cell lengths 4.6396, 4.6396, 9.6450 Å; angles 103.92, 103.92, 90.00 degrees
Positions (direct):
Pm 0.0000 0.0000 0.0000
C 0.0000 0.5000 0.0000
C 0.5000 0.0000 0.0000
Pr 0.4121 0.4121 0.8241
Pr 0.5879 0.5879 0.1759
I 0.8209 0.8209 0.6417
I 0.1791 0.1791 0.3583

Fermi-level density of states: 3.4 states/eV/f.u.
energy: -5.510 eV per atom